1.
Entry from Alexandria via LeMat-Bulk: a relaxed structure of La3ZnB2Pt9 (PBE-GGA).

The structure in POSCAR format:
```
La3ZnB2Pt9
1.0
5.838 0.000 0.000
-2.919 5.056 0.000
0.000 0.000 9.401
La Zn B Pt
3 1 2 9
Direct
0.000 0.000 0.000
0.333 0.667 0.620
0.667 0.333 0.380
0.000 0.000 0.500
0.333 0.667 0.150
0.667 0.333 0.850
0.000 0.500 0.000
0.166 0.331 0.287
0.166 0.834 0.287
0.331 0.166 0.713
0.500 0.000 0.000
0.500 0.500 0.000
0.669 0.834 0.287
0.834 0.166 0.713
0.834 0.669 0.713
```

Properties
Space-group type: P-3m1 (164)
Energy of formation from the pure elements (eV/atom): -0.83

=====

2.
Entry from Alexandria via LeMat-Bulk: a relaxed structure of LaZnBPt6 (PBE-GGA).

The structure in POSCAR format:
```
LaZnBPt6
1.0
-3.371 4.300 5.628
3.371 -4.300 5.628
3.371 4.300 -5.628
La Zn B Pt
2 2 2 12
Direct
0.421 0.171 0.250
0.579 0.829 0.750
0.000 0.000 0.500
0.000 0.500 0.000
0.000 0.500 0.500
0.500 0.500 0.000
0.111 0.389 0.255
0.111 0.856 0.721
0.164 0.914 0.250
0.308 0.558 0.750
0.365 0.144 0.755
0.365 0.611 0.221
0.635 0.389 0.779
0.635 0.856 0.245
0.692 0.442 0.250
0.836 0.086 0.750
0.889 0.144 0.279
0.889 0.611 0.745
```

Properties
Space-group type: Imma (74)
Energy of formation from the pure elements (eV/atom): -0.43

=====

3.
Entry from Alexandria via LeMat-Bulk: a relaxed structure of La2ZnB3Pt12 (PBE-GGA).

The structure in POSCAR format:
```
La2ZnB3Pt12
1.0
3.990 2.304 5.824
-3.990 2.304 5.824
0.000 -4.607 5.824
La Zn B Pt
2 1 3 12
Direct
0.109 0.109 0.109
0.891 0.891 0.891
0.500 0.500 0.500
0.000 0.500 0.500
0.500 0.000 0.500
0.500 0.500 0.000
0.121 0.621 0.621
0.175 0.175 0.588
0.175 0.588 0.175
0.379 0.379 0.879
0.379 0.879 0.379
0.412 0.825 0.825
0.588 0.175 0.175
0.621 0.121 0.621
0.621 0.621 0.121
0.825 0.412 0.825
0.825 0.825 0.412
0.879 0.379 0.379
```

Properties
Space-group type: R-3m (166)
Energy of formation from the pure elements (eV/atom): -0.49

=====

4.
Entry from Alexandria via LeMat-Bulk: a relaxed structure of La2ZnBPt6 (PBE-GGA).

The structure in POSCAR format:
```
La2ZnBPt6
1.0
2.869 1.657 6.601
-2.869 1.657 6.601
0.000 -3.313 6.601
La Zn B Pt
2 1 1 6
Direct
0.215 0.215 0.215
0.785 0.785 0.785
0.500 0.500 0.500
0.000 0.000 0.000
0.236 0.236 0.717
0.236 0.717 0.236
0.283 0.764 0.764
0.717 0.236 0.236
0.764 0.283 0.764
0.764 0.764 0.283
```

Properties
Space-group type: R-3m (166)
Energy of formation from the pure elements (eV/atom): -0.90

=====

5.
Entry from Alexandria via LeMat-Bulk: a relaxed structure of RbLa2B (PBE-GGA).

The structure in POSCAR format:
```
RbLa2B
1.0
-4.226 4.226 4.654
4.226 -4.226 4.654
4.226 4.226 -4.654
Rb La B
2 4 2
Direct
0.000 0.000 0.000
0.750 0.250 0.500
0.269 0.625 0.144
0.375 0.519 0.644
0.481 0.125 0.856
0.875 0.731 0.356
0.250 0.750 0.500
0.500 0.500 0.000
```

Properties
Space-group type: I-42d (122)
Energy of formation from the pure elements (eV/atom): 0.55

=====

6.
Entry from Alexandria via LeMat-Bulk: a relaxed structure of RbLa2BRh (PBE-GGA).

The structure in POSCAR format:
```
RbLa2BRh
1.0
5.592 0.000 0.000
0.000 5.592 0.000
0.000 0.000 4.701
Rb La B Rh
1 2 1 1
Direct
0.000 0.000 0.000
0.000 0.500 0.000
0.500 0.000 0.000
0.500 0.500 0.500
0.000 0.000 0.500
```

Properties
Space-group type: P4/mmm (123)
Energy of formation from the pure elements (eV/atom): 1.90

=====

7.
Entry from Alexandria via LeMat-Bulk: a relaxed structure of Rb2LaB2S6 (PBE-GGA).

The structure in POSCAR format:
```
Rb2LaB2S6
1.0
5.999 -3.391 0.000
5.999 3.391 0.000
-4.183 0.000 7.697
Rb La B S
2 1 2 6
Direct
0.202 0.202 0.176
0.798 0.798 0.824
0.000 0.000 0.500
0.435 0.435 0.725
0.565 0.565 0.275
0.248 0.705 0.232
0.268 0.268 0.658
0.295 0.752 0.768
0.705 0.248 0.232
0.732 0.732 0.342
0.752 0.295 0.768
```

Properties
Space-group type: C2/m (12)
E_form (uncorrected) (meV/atom): -996.9

=====

8.
Entry from Alexandria via LeMat-Bulk: a relaxed structure of RbLaScB2 (PBE-GGA).

The structure in POSCAR format:
```
RbLaScB2
1.0
5.187 0.000 0.000
0.000 5.187 0.000
0.000 0.000 5.466
Rb La Sc B
1 1 1 2
Direct
0.000 0.000 0.000
0.500 0.500 0.500
0.500 0.500 0.000
0.000 0.500 0.500
0.500 0.000 0.500
```

Properties
Space-group type: P4/mmm (123)
Energy of formation from the pure elements (eV/atom): 1.66

=====

9.
Entry from Alexandria via LeMat-Bulk: a relaxed structure of Rb2LaB2Se6 (PBE-GGA).

The structure in POSCAR format:
```
Rb2LaB2Se6
1.0
7.290 0.000 0.000
-3.645 6.314 0.000
0.000 0.000 7.978
Rb La B Se
2 1 2 6
Direct
0.333 0.667 0.329
0.667 0.333 0.671
0.000 0.000 0.000
0.333 0.667 0.779
0.667 0.333 0.221
0.179 0.359 0.755
0.179 0.821 0.755
0.359 0.179 0.245
0.641 0.821 0.755
0.821 0.179 0.245
0.821 0.641 0.245
```

Properties
Space-group type: P-3m1 (164)
E_form (uncorrected) (meV/atom): -800.2

=====

10.
Entry from Alexandria via LeMat-Bulk: a relaxed structure of La2ReB2 (PBE-GGA).

The structure in POSCAR format:
```
La2ReB2
1.0
7.929 0.000 0.000
0.000 7.929 0.000
0.000 0.000 2.981
La Re B
4 2 4
Direct
0.141 0.359 0.000
0.359 0.859 0.000
0.641 0.141 0.000
0.859 0.641 0.000
0.000 0.000 0.000
0.500 0.500 0.000
0.161 0.661 0.500
0.339 0.161 0.500
0.661 0.839 0.500
0.839 0.339 0.500
```

Properties
Energy relative to the lowest polymorph listed for this composition (eV/f.u.): 1.695
Space-group type: P4/mbm (127)
Energy of formation from the pure elements (eV/atom): 1.22

=====

11.
Entry from Alexandria via LeMat-Bulk: a relaxed structure of LaReB (PBE-GGA).

The structure in POSCAR format:
```
LaReB
1.0
0.000 3.050 3.050
3.050 0.000 3.050
3.050 3.050 0.000
La Re B
1 1 1
Direct
0.000 0.000 0.000
0.750 0.750 0.750
0.500 0.500 0.500
```

Properties
Energy relative to the lowest polymorph listed for this composition (eV/f.u.): 3.946
Space-group type: F-43m (216)
Energy of formation from the pure elements (eV/atom): 1.16

=====

12.
Entry from Alexandria via LeMat-Bulk: a relaxed structure of LaRe2B (PBE-GGA).

The structure in POSCAR format:
```
LaRe2B
1.0
-2.350 2.350 7.609
2.350 -2.350 7.609
2.350 2.350 -7.609
La Re B
2 4 2
Direct
0.000 0.000 0.000
0.750 0.250 0.500
0.325 0.625 0.200
0.375 0.575 0.700
0.425 0.125 0.800
0.875 0.675 0.300
0.250 0.750 0.500
0.500 0.500 0.000
```

Properties
Space-group type: I-42d (122)
Energy of formation from the pure elements (eV/atom): 0.56

=====

Calculated uncorrected energy (eV/cell), listed in the same order as above: -96.2, -106.1, -112.4, -63.0, -30.6, -15.3, -55.9, -17.3, -49.9, -59.1, -20.6, -68.6